1.
The following is a DFT calculation (PBE) of a relaxed Mn2FeRu crystal.

As for the energy above the lowest structure with this stoichiometry: 0.025 eV per atom. The calculation puts the spin magnetization at 0.89 μB/f.u. The value obtained for the formation energy is 0.039 eV per atom.

The space group is I4/mmm (No. 139) and the conventional cell measures 3.630, 3.630 and 7.288 Å, with angles of 90.00, 90.00 and 90.00 degrees. The asymmetric unit holds Mn at (0.000, 0.500, 0.250), Fe at (0.000, 0.000, 0.000) and Ru at (0.000, 0.000, 0.500).

2.
The following is a DFT calculation (PBE) of a relaxed Cs3Sm2HoS6 crystal.

The calculation puts the spin magnetization at 0.00 μB/f.u. As for the total DFT energy (no corrections): -5.268 eV/atom.

The space group is C2/m (No. 12) and the conventional cell measures 7.206, 12.482 and 8.428 Å, with angles of 90.00, 106.56 and 90.00 degrees. The asymmetric unit holds Cs at (0.000, 0.000, 0.000), Cs at (0.000, 0.332, 0.000), Sm at (0.000, 0.167, 0.500), Ho at (0.000, 0.500, 0.500), S at (0.225, 0.337, 0.683) and S at (0.234, 0.000, 0.684).

3.
The following is a DFT calculation (PBE) of a relaxed InW2Br crystal.

As for the energy above the lowest structure with this stoichiometry: 1.030 eV per atom. The calculation puts the spin magnetization at 0.00 μB/f.u.

The space group is P4/mmm (No. 123) and the conventional cell measures 4.832, 4.832 and 3.066 Å, with angles of 90.00, 90.00 and 90.00 degrees. The asymmetric unit holds In at (0.000, 0.000, 0.000), W at (0.000, 0.500, 0.500) and Br at (0.500, 0.500, 0.000).

4.
The following is a DFT calculation (PBE) of a relaxed Ac3SiP2Pd9 crystal.

The calculation puts the spin magnetization at 0.00 μB/f.u. As for the total DFT energy (no corrections): -5.811 eV/atom.

The space group is P-3m1 (No. 164) and the conventional cell measures 6.5305, 6.5305 and 8.4717 Å, with angles of 90.00, 90.00 and 120.00 degrees. The asymmetric unit holds Ac at (0.0000, 0.0000, 0.0000), Ac at (0.3333, 0.6667, 0.6446), Si at (0.0000, 0.0000, 0.5000), P at (0.3333, 0.6667, 0.1743), Pd at (0.0000, 0.5000, 0.0000) and Pd at (0.1506, 0.3013, 0.2976).

5.
The following is a DFT calculation (PBE) of a relaxed LaPmScCd crystal.

As for the energy above the lowest structure with this stoichiometry: 0.061 eV per atom. The calculation puts the spin magnetization at 0.04 μB/f.u. The value obtained for the formation energy is -0.063 eV per atom.

The space group is F-43m (No. 216) and the conventional cell measures 7.777, 7.777 and 7.777 Å, with angles of 90.00, 90.00 and 90.00 degrees. The asymmetric unit holds La at (0.000, 0.000, 0.000), Pm at (0.000, 0.000, 0.500), Sc at (0.250, 0.250, 0.750) and Cd at (0.250, 0.250, 0.250).

6.
The following is a DFT calculation (PBE) of a relaxed Rb2HgPtI6 crystal.

The calculation puts the spin magnetization at 0.00 μB/f.u. As for the total DFT energy (no corrections): -2.454 eV/atom.

The space group is I4/mmm (No. 139) and the conventional cell measures 8.393, 8.393 and 11.813 Å, with angles of 90.00, 90.00 and 90.00 degrees. The asymmetric unit holds Rb at (0.000, 0.500, 0.250), Hg at (0.000, 0.000, 0.000), Pt at (0.000, 0.000, 0.500), I at (0.000, 0.000, 0.268) and I at (0.230, 0.230, 0.500).

7.
The following is a DFT calculation (PBE) of a relaxed Cd2BiS crystal.

The calculation puts the spin magnetization at 0.00 μB/f.u. As for the total DFT energy (no corrections): -2.588 eV/atom.

The space group is I-42d (No. 122) and the conventional cell measures 6.537, 6.537 and 11.912 Å, with angles of 90.00, 90.00 and 90.00 degrees. The asymmetric unit holds Cd at (0.204, 0.250, 0.125), Bi at (0.000, 0.000, 0.500) and S at (0.000, 0.000, 0.000).

8.
The following is a DFT calculation (PBE) of a relaxed TaCO2 crystal.

The calculation puts the spin magnetization at 0.00 μB/f.u. As for the total DFT energy (no corrections): -7.174 eV/atom.

The space group is R-3m (No. 166, hexagonal axes) and the conventional cell measures 2.9079, 2.9079 and 18.0274 Å, with angles of 90.00, 90.00 and 120.00 degrees. The asymmetric unit holds Ta at (0.0000, 0.0000, 0.0000), C at (0.0000, 0.0000, 0.5000) and O at (0.0000, 0.0000, 0.1090).

Among the records above, which one has the highest spin magnetization? Mn2FeRu

The highest spin magnetization belongs to which entry? Mn2FeRu

What is the spin magnetization in the sixth record? 0.00 μB/f.u.

What is the spin magnetization in the eighth record? 0.00 μB/f.u.